No. 1
Below is a relaxed structure of Hf3GeI, with properties calculated at the PBE level.

a b c (Å): 5.064 5.064 5.064
angles (deg): 90.00 90.00 90.00
Fractional positions:
1 Hf 0.000 0.000 0.500
2 Hf 0.500 0.000 0.000
3 Ge 0.000 0.000 0.000
4 I 0.500 0.500 0.500
5 Hf 0.000 0.500 0.000

Summary:
* Fermi-level density of states: 8.2 states/eV per cell
* symmetry: Pm-3m
* total energy: -6.539 eV per atom
* offset from the most stable computed form: 0.0 meV per atom
* V: 26.0 Å³/atom
* total moment: 0.000 Bohr magnetons per cell



No. 2
Below is a relaxed structure of NaIn2Se2, with properties calculated at the PBE level.

a b c (Å): 5.466 5.466 6.101
angles (deg): 63.39 63.39 90.00
Fractional positions:
1 In 0.654 0.654 0.692
2 In 0.346 0.346 0.308
3 Se 0.250 0.750 0.500
4 Na 0.000 0.000 0.000
5 Se 0.750 0.250 0.500

Summary:
* Fermi-level density of states: 1.1 states/eV per cell
* symmetry: I4/mmm
* total energy: -3.248 eV per atom
* offset from the most stable computed form: 4.5 meV per atom
* V: 28.2 Å³/atom
* total moment: 0.000 Bohr magnetons per cell



No. 3
Below is a relaxed structure of PmNdSm2Tm, with properties calculated at the PBE level.

a b c (Å): 6.549 8.418 6.261
angles (deg): 93.41 90.00 90.00
Fractional positions:
1 Sm 0.692 0.312 0.731
2 Nd 0.000 0.000 0.500
3 Sm 0.308 0.312 0.231
4 Tm 0.166 0.500 0.750
5 Tm 0.834 0.500 0.250
6 Sm 0.308 0.688 0.269
7 Pm 0.435 0.000 0.750
8 Sm 0.692 0.688 0.769
9 Pm 0.565 0.000 0.250
10 Nd 0.000 0.000 0.000

Summary:
* Fermi-level density of states: 13.0 states/eV per cell
* symmetry: P2/c
* total energy: -4.409 eV per atom
* calculated formation energy: 0.277 eV/atom
* V: 34.5 Å³/atom
* total moment: 0.000 Bohr magnetons per cell



No. 4
Below is a relaxed structure of SrInTcO6, with properties calculated at the PBE level.

a b c (Å): 5.482 5.482 5.253
angles (deg): 90.00 90.00 60.00
Fractional positions:
1 O 0.603 0.036 0.291
2 Tc 0.333 0.333 0.500
3 O 0.036 0.603 0.709
4 O 0.361 0.603 0.291
5 O 0.361 0.036 0.709
6 O 0.603 0.361 0.709
7 In 0.667 0.667 0.500
8 Sr 0.000 0.000 0.000
9 O 0.036 0.361 0.291

Summary:
* symmetry: P312
* total energy: -6.640 eV per atom
* V: 15.2 Å³/atom
* total moment: 0.000 Bohr magnetons per cell



No. 5
Below is a relaxed structure of CoNi2HgH, with properties calculated at the PBE level.

a b c (Å): 3.796 3.796 3.808
angles (deg): 90.00 90.00 90.00
Fractional positions:
1 Co 0.000 0.000 0.500
2 Hg 0.500 0.500 0.500
3 H 0.000 0.000 0.000
4 Ni 0.500 0.000 0.000
5 Ni 0.000 0.500 0.000

Summary:
* Fermi-level density of states: 6.9 states/eV per cell
* symmetry: P4/mmm
* total energy: -4.289 eV per atom
* offset from the most stable computed form: 0.0 meV per atom
* V: 11.0 Å³/atom
* total moment: 1.881 Bohr magnetons per cell



No. 6
Below is a relaxed structure of HoLuPdAu, with properties calculated at the PBE level.

a b c (Å): 4.966 4.966 4.966
angles (deg): 60.00 60.00 60.00
Fractional positions:
1 Lu 0.250 0.250 0.250
2 Ho 0.750 0.750 0.750
3 Au 0.000 0.000 0.000
4 Pd 0.500 0.500 0.500

Summary:
* Fermi-level density of states: 3.4 states/eV per cell
* symmetry: F-43m
* total energy: -5.289 eV per atom
* calculated formation energy: -0.897 eV/atom
* V: 21.6 Å³/atom
* total moment: 0.000 Bohr magnetons per cell



No. 7
Below is a relaxed structure of NdSmCoPt, with properties calculated at the PBE level.

a b c (Å): 4.985 4.985 4.985
angles (deg): 60.00 60.00 60.00
Fractional positions:
1 Nd 0.500 0.500 0.500
2 Sm 0.000 0.000 0.000
3 Co 0.250 0.250 0.250
4 Pt 0.750 0.750 0.750

Summary:
* Fermi-level density of states: 3.3 states/eV per cell
* symmetry: F-43m
* total energy: -6.159 eV per atom
* calculated formation energy: -0.501 eV/atom
* V: 21.9 Å³/atom
* total moment: 0.403 Bohr magnetons per cell



No. 8
Below is a relaxed structure of Pr2Sm5HoTh, with properties calculated at the PBE level.

a b c (Å): 5.706 10.684 10.596
angles (deg): 90.00 90.00 105.49
Fractional positions:
1 Th 0.199 0.397 0.012
2 Sm 0.704 0.408 0.205
3 Sm 0.985 0.969 0.519
4 Ho 0.594 0.188 0.958
5 Pr 0.115 0.231 0.731
6 Sm 0.275 0.551 0.315
7 Sm 0.387 0.773 0.025
8 Pr 0.885 0.769 0.816
9 Sm 0.015 0.031 0.019
10 Sm 0.481 0.963 0.743
11 Sm 0.519 0.037 0.243
12 Ho 0.406 0.812 0.458
13 Pr 0.885 0.769 0.231
14 Th 0.801 0.603 0.512
15 Sm 0.296 0.592 0.705
16 Pr 0.115 0.231 0.316
17 Sm 0.613 0.227 0.525
18 Sm 0.725 0.449 0.815

Summary:
* Fermi-level density of states: 26.3 states/eV per cell
* symmetry: Cmc2_1
* total energy: -4.868 eV per atom
* calculated formation energy: 0.149 eV/atom
* V: 34.6 Å³/atom
* total moment: 0.000 Bohr magnetons per cell



No. 9
Below is a relaxed structure of SmB2Ir3, with properties calculated at the PBE level.

a b c (Å): 5.382 5.680 5.680
angles (deg): 92.94 90.00 90.00
Fractional positions:
1 Sm 0.750 0.645 0.645
2 B 0.000 0.215 0.785
3 Ir 0.750 0.119 0.519
4 Ir 0.250 0.881 0.481
5 Ir 0.250 0.481 0.881
6 Ir 0.250 0.961 0.961
7 Ir 0.750 0.039 0.039
8 B 0.500 0.785 0.215
9 Sm 0.250 0.355 0.355
10 Ir 0.750 0.519 0.119
11 B 0.500 0.215 0.785
12 B 0.000 0.785 0.215

Summary:
* Fermi-level density of states: 3.1 states/eV per cell
* symmetry: Cmcm
* total energy: -7.880 eV per atom
* calculated formation energy: -0.438 eV/atom
* V: 14.5 Å³/atom
* total moment: 0.000 Bohr magnetons per cell



No. 10
Below is a relaxed structure of Pm3ZrPd12, with properties calculated at the PBE level.

a b c (Å): 4.145 4.145 16.604
angles (deg): 90.00 90.00 90.00
Fractional positions:
1 Pm 0.000 0.000 0.246
2 Pd 0.000 0.500 0.372
3 Pd 0.500 0.000 0.628
4 Pm 0.000 0.000 0.500
5 Pd 0.500 0.500 0.244
6 Pd 0.500 0.500 0.000
7 Pd 0.000 0.500 0.116
8 Pd 0.500 0.500 0.500
9 Pm 0.000 0.000 0.754
10 Zr 0.000 0.000 0.000
11 Pd 0.500 0.500 0.756
12 Pd 0.000 0.500 0.884
13 Pd 0.500 0.000 0.116
14 Pd 0.500 0.000 0.372
15 Pd 0.000 0.500 0.628
16 Pd 0.500 0.000 0.884

Summary:
* Fermi-level density of states: 7.2 states/eV per cell
* symmetry: P4/mmm
* total energy: -6.125 eV per atom
* calculated formation energy: -0.805 eV/atom
* V: 17.8 Å³/atom
* total moment: 0.000 Bohr magnetons per cell



No. 11
Below is a relaxed structure of ScMnTl2, with properties calculated at the PBE level.

a b c (Å): 5.743 5.743 5.743
angles (deg): 144.64 123.77 68.20
Fractional positions:
1 Mn 0.750 0.250 0.500
2 Sc 0.250 0.750 0.500
3 Tl 0.515 0.515 0.000
4 Tl 0.985 0.985 0.000

Summary:
* Fermi-level density of states: 3.6 states/eV per cell
* symmetry: Immm
* total energy: -4.885 eV per atom
* calculated formation energy: 0.174 eV/atom
* V: 22.4 Å³/atom
* total moment: 2.946 Bohr magnetons per cell



No. 12
Below is a relaxed structure of FeIr2Cl, with properties calculated at the PBE level.

a b c (Å): 2.844 4.550 4.550
angles (deg): 90.00 90.00 90.00
Fractional positions:
1 Cl 0.500 0.500 0.000
2 Ir 0.000 0.500 0.500
3 Ir 0.000 0.000 0.000
4 Fe 0.500 0.000 0.500

Summary:
* Fermi-level density of states: 4.3 states/eV per cell
* symmetry: P4/mmm
* total energy: -6.070 eV per atom
* offset from the most stable computed form: 597.1 meV per atom
* V: 14.7 Å³/atom
* total moment: 4.435 Bohr magnetons per cell



No. 13
Below is a relaxed structure of BaCaBr2O, with properties calculated at the PBE level.

a b c (Å): 5.997 10.118 5.997
angles (deg): 90.00 90.00 90.00
Fractional positions:
1 Br 0.000 0.000 0.500
2 O 0.500 0.500 0.500
3 Ba 0.000 0.000 0.000
4 Ca 0.000 0.500 0.000
5 Br 0.500 0.000 0.000

Summary:
* Fermi-level density of states: 5.9 states/eV per cell
* symmetry: P4/mmm
* total energy: -2.876 eV per atom
* V: 72.8 Å³/atom
* total moment: 0.908 Bohr magnetons per cell



No. 14
Below is a relaxed structure of CsCu3Br, with properties calculated at the PBE level.

a b c (Å): 5.187 5.187 5.187
angles (deg): 90.00 90.00 90.00
Fractional positions:
1 Cu 0.000 0.000 0.500
2 Cu 0.500 0.000 0.000
3 Br 0.000 0.000 0.000
4 Cu 0.000 0.500 0.000
5 Cs 0.500 0.500 0.500

Summary:
* Fermi-level density of states: 4.9 states/eV per cell
* symmetry: Pm-3m
* total energy: -2.210 eV per atom
* offset from the most stable computed form: 0.0 meV per atom
* V: 27.9 Å³/atom
* total moment: 0.000 Bohr magnetons per cell



No. 15
Below is a relaxed structure of Tb6GaP2Se3, with properties calculated at the PBE level.

a b c (Å): 4.037 8.305 9.194
angles (deg): 103.61 102.68 90.00
Fractional positions:
1 Se 0.500 0.500 0.000
2 Se 0.168 0.831 0.336
3 Tb 0.004 0.249 0.007
4 P 0.167 0.335 0.335
5 Se 0.832 0.169 0.664
6 Tb 0.335 0.905 0.670
7 Tb 0.996 0.751 0.993
8 Ga 0.500 0.000 0.000
9 P 0.833 0.665 0.665
10 Tb 0.328 0.428 0.656
11 Tb 0.665 0.095 0.330
12 Tb 0.672 0.572 0.344

Summary:
* Fermi-level density of states: 3.2 states/eV per cell
* symmetry: C2/m
* total energy: -5.920 eV per atom
* V: 24.3 Å³/atom
* total moment: 0.000 Bohr magnetons per cell



No. 16
Below is a relaxed structure of Ce3Zn8Au3, with properties calculated at the PBE level.

a b c (Å): 4.452 8.359 8.359
angles (deg): 66.42 74.56 74.56
Fractional positions:
1 Ce 0.192 0.808 0.808
2 Ce 0.500 0.500 0.500
3 Au 0.000 0.776 0.224
4 Zn 0.826 0.811 0.537
5 Au 0.500 0.000 0.000
6 Zn 0.826 0.537 0.811
7 Ce 0.808 0.192 0.192
8 Zn 0.365 0.913 0.357
9 Zn 0.635 0.087 0.643
10 Zn 0.365 0.357 0.913
11 Zn 0.174 0.189 0.463
12 Zn 0.635 0.643 0.087
13 Au 0.000 0.224 0.776
14 Zn 0.174 0.463 0.189

Summary:
* Fermi-level density of states: 20.3 states/eV per cell
* symmetry: Immm
* total energy: -3.085 eV per atom
* offset from the most stable computed form: 35.7 meV per atom
* calculated formation energy: -0.383 eV/atom
* V: 19.3 Å³/atom
* total moment: 2.773 Bohr magnetons per cell



No. 17
Below is a relaxed structure of Pa2Zn4Ag, with properties calculated at the PBE level.

a b c (Å): 4.671 4.671 8.192
angles (deg): 106.57 106.57 90.00
Fractional positions:
1 Pa 0.364 0.364 0.728
2 Zn 0.171 0.171 0.343
3 Ag 0.000 0.000 0.000
4 Pa 0.636 0.636 0.272
5 Zn 0.000 0.500 0.000
6 Zn 0.500 0.000 0.000
7 Zn 0.829 0.829 0.657

Summary:
* Fermi-level density of states: 13.5 states/eV per cell
* symmetry: I4/mmm
* total energy: -3.299 eV per atom
* calculated formation energy: 0.550 eV/atom
* V: 23.4 Å³/atom
* total moment: 3.123 Bohr magnetons per cell



No. 18
Below is a relaxed structure of Tb6Nd5Sm, with properties calculated at the PBE level.

a b c (Å): 11.917 6.277 6.277
angles (deg): 60.00 84.97 79.89
Fractional positions:
1 Sm 0.000 0.000 0.000
2 Tb 0.250 0.250 0.000
3 Nd 0.000 0.667 0.667
4 Tb 0.750 0.083 0.333
5 Tb 0.750 0.416 0.667
6 Nd 0.000 0.333 0.333
7 Nd 0.500 0.500 0.000
8 Tb 0.250 0.584 0.333
9 Nd 0.500 0.167 0.667
10 Nd 0.500 0.833 0.333
11 Tb 0.250 0.917 0.667
12 Tb 0.750 0.750 0.000

Summary:
* Fermi-level density of states: 14.7 states/eV per cell
* symmetry: C2/m
* total energy: -4.684 eV per atom
* offset from the most stable computed form: 0.0 meV per atom
* calculated formation energy: 0.011 eV/atom
* V: 33.4 Å³/atom
* total moment: 0.000 Bohr magnetons per cell



No. 19
Below is a relaxed structure of YRh4W, with properties calculated at the PBE level.

a b c (Å): 5.203 5.203 5.203
angles (deg): 60.00 60.00 60.00
Fractional positions:
1 W 0.750 0.750 0.750
2 Rh 0.375 0.375 0.375
3 Rh 0.375 0.375 0.875
4 Rh 0.375 0.875 0.375
5 Y 0.000 0.000 0.000
6 Rh 0.875 0.375 0.375

Summary:
* Fermi-level density of states: 9.5 states/eV per cell
* symmetry: F-43m
* total energy: -8.207 eV per atom
* calculated formation energy: -0.070 eV/atom
* V: 16.6 Å³/atom
* total moment: 0.021 Bohr magnetons per cell



No. 20
Below is a relaxed structure of TiB2F2, with properties calculated at the PBE level.

a b c (Å): 6.516 6.516 2.493
angles (deg): 90.00 90.00 90.00
Fractional positions:
1 B 0.766 0.734 0.500
2 B 0.234 0.266 0.500
3 F 0.877 0.623 0.000
4 Ti 0.000 0.000 0.000
5 F 0.123 0.377 0.000
6 B 0.266 0.766 0.500
7 Ti 0.500 0.500 0.000
8 B 0.734 0.234 0.500
9 F 0.623 0.123 0.000
10 F 0.377 0.877 0.000

Summary:
* Fermi-level density of states: 3.9 states/eV per cell
* symmetry: P4/mbm
* total energy: -5.165 eV per atom
* offset from the most stable computed form: 674.5 meV per atom
* V: 10.6 Å³/atom
* total moment: 0.000 Bohr magnetons per cell